Density functional theory data (PBE-GGA) for a relaxed CsLi3Tl crystal.

abc: 5.5845 5.5845 5.5845
angles: 90.00 90.00 90.00
Sites, in units of the cell vectors:
Li1 0.0000 0.5000 0.0000
Li2 0.0000 0.0000 0.5000
Li3 0.5000 0.0000 0.0000
Tl1 0.0000 0.0000 0.0000
Cs1 0.5000 0.5000 0.5000

Output
E in eV per atom: -1.7786
E_form in meV per atom: 14
Magnetization in μB/atom: 0.00
Energy relative to the lowest polymorph listed for this composition in eV/f.u.: 0.000
Space group: Pm-3m (221)